First-principles (GGA-PBE) data for an optimized crystal structure of SnIrS, as listed in the Alexandria database.

total energy = -5.697 eV per atom
size of the total moment = 0.000 μB/f.u.
raw formation energy = -0.77 kcal/mol of atoms
symmetry = No. 6

a = 3.7360 Å, b = 3.2454 Å, c = 5.1222 Å
α = 90.00°, β = 90.30°, γ = 90.00°
Closest atoms and distances in Å follow each position.
Positions (direct):
1 Sn 0.0000 0.0000 0.0000  4 Ir 2.80-2.81, 2 S 2.89-2.91
2 Ir 0.5014 0.5000 0.2578  2 S 2.27
3 S 0.5013 0.0000 0.5678  2 Ir 2.27